(1)
Computed, not measured: crystalline KPr2HoTe4 at its relaxed geometry at the PBE-GGA level of DFT.

a b c (Å): 4.485 7.915 7.930
angles (deg): 71.54 90.00 90.00
Fractional coordinates of all 8 atoms:
Pr 0.000 0.000 0.000
Te 0.000 0.247 0.264
Pr 0.500 0.000 0.500
Te 0.000 0.753 0.736
Ho 0.000 0.500 0.500
K 0.500 0.500 0.000
Te 0.500 0.741 0.264
Te 0.500 0.259 0.736

Output
SG: P2/m, No. 10
Volume: 267.0 Å³ per cell
Formation energy from raw total energies: -1345 meV/atom

(2)
Computed, not measured: crystalline K3PrHo2Te6 at its relaxed geometry at the PBE-GGA level of DFT.

a b c (Å): 7.859 7.859 8.659
angles (deg): 98.71 98.71 120.01
Fractional coordinates of all 12 atoms:
K 0.836 0.164 0.500
Ho 0.667 0.333 0.000
K 0.164 0.836 0.500
K 0.500 0.500 0.500
Te 0.274 0.274 0.790
Te 0.726 0.726 0.210
Te 0.414 0.070 0.210
Pr 0.000 0.000 0.000
Te 0.930 0.586 0.790
Te 0.070 0.414 0.210
Ho 0.333 0.667 0.000
Te 0.586 0.930 0.790

Output
SG: C2/m, No. 12
Volume: 441.3 Å³ per cell
Formation energy from raw total energies: -1397 meV/atom

(3)
Computed, not measured: crystalline KHo4PuS8 at its relaxed geometry at the PBE-GGA level of DFT.

a b c (Å): 8.168 8.168 8.255
angles (deg): 60.35 60.35 60.00
Fractional coordinates of all 14 atoms:
S 0.758 0.758 0.727
Ho 0.005 0.005 0.503
S 0.235 0.802 0.729
S 0.234 0.234 0.299
K 0.374 0.374 0.878
Ho 0.005 0.488 0.503
S 0.230 0.754 0.263
S 0.754 0.754 0.263
S 0.802 0.235 0.729
Pu 0.003 0.003 0.990
Ho 0.488 0.005 0.503
S 0.235 0.235 0.729
S 0.754 0.230 0.263
Ho 0.626 0.626 0.123

Output
SG: R3m, No. 160
Volume: 391.5 Å³ per cell
Formation energy from raw total energies: -1839 meV/atom

(4)
Computed, not measured: crystalline K3Ho3PuS8 at its relaxed geometry at the PBE-GGA level of DFT.

a b c (Å): 8.020 8.020 8.792
angles (deg): 117.14 90.00 120.00
Fractional coordinates of all 15 atoms:
Pu 0.000 0.000 0.500
S 0.267 0.534 0.301
S 0.733 0.466 0.699
S 0.736 0.965 0.695
S 0.229 0.458 0.695
S 0.229 0.965 0.695
Ho 0.500 0.500 0.500
Ho 0.000 0.500 0.500
S 0.771 0.542 0.305
S 0.264 0.035 0.305
Ho 0.500 0.000 0.500
K 0.000 0.500 0.000
S 0.771 0.035 0.305
K 0.000 0.000 0.000
K 0.500 0.500 0.000

Output
SG: R-3m, No. 166
Volume: 416.3 Å³ per cell
Formation energy from raw total energies: -1788 meV/atom

(5)
Computed, not measured: crystalline K3HoPu3S8 at its relaxed geometry at the PBE-GGA level of DFT.

a b c (Å): 8.124 8.132 8.777
angles (deg): 117.51 89.99 119.97
Fractional coordinates of all 15 atoms:
S 0.231 0.965 0.695
S 0.769 0.538 0.308
K 0.000 0.000 0.000
S 0.734 0.965 0.695
Pu 0.000 0.500 0.500
S 0.266 0.035 0.305
Pu 0.500 0.500 0.500
S 0.734 0.468 0.699
K 0.000 0.500 0.000
S 0.231 0.462 0.692
S 0.769 0.035 0.305
K 0.500 0.500 0.000
S 0.266 0.532 0.301
Pu 0.500 0.000 0.500
Ho 0.000 0.000 0.500

Output
SG: C2/m, No. 12
Volume: 425.0 Å³ per cell
Formation energy from raw total energies: -1619 meV/atom

(6)
Computed, not measured: crystalline K4Ho3PuSe8 at its relaxed geometry at the PBE-GGA level of DFT.

a b c (Å): 8.449 9.086 8.450
angles (deg): 117.71 120.00 90.00
Fractional coordinates of all 16 atoms:
K 0.500 0.000 0.000
Se 0.265 0.296 0.530
Se 0.237 0.705 0.967
Se 0.735 0.704 0.470
Ho 0.500 0.500 0.500
Se 0.730 0.705 0.967
Pu 0.000 0.500 0.000
Se 0.763 0.295 0.033
K 0.000 0.000 0.000
Se 0.270 0.295 0.033
Se 0.763 0.295 0.525
K 0.000 0.000 0.500
K 0.500 0.000 0.500
Ho 0.500 0.500 0.000
Se 0.237 0.705 0.475
Ho 0.000 0.500 0.500

Output
SG: R-3m, No. 166
Volume: 474.0 Å³ per cell
Formation energy from raw total energies: -1677 meV/atom

(7)
Computed, not measured: crystalline KHoPu2Se4 at its relaxed geometry at the PBE-GGA level of DFT.

a b c (Å): 4.177 7.287 7.444
angles (deg): 71.03 90.00 90.00
Fractional coordinates of all 8 atoms:
Se 0.500 0.749 0.262
Pu 0.500 0.000 0.500
Ho 0.000 0.500 0.500
Se 0.000 0.761 0.728
Se 0.500 0.251 0.738
Pu 0.000 0.000 0.000
Se 0.000 0.239 0.272
K 0.500 0.500 0.000

Output
SG: P2/m, No. 10
Volume: 214.3 Å³ per cell
Formation energy from raw total energies: -1500 meV/atom

(8)
Computed, not measured: crystalline K3Ho2PuSe6 at its relaxed geometry at the PBE-GGA level of DFT.

a b c (Å): 7.339 7.339 8.039
angles (deg): 98.75 98.75 120.00
Fractional coordinates of all 12 atoms:
K 0.834 0.166 0.500
Se 0.068 0.407 0.205
Se 0.270 0.270 0.795
Se 0.932 0.593 0.795
Se 0.407 0.068 0.205
Se 0.730 0.730 0.205
Se 0.593 0.932 0.795
K 0.166 0.834 0.500
K 0.500 0.500 0.500
Ho 0.333 0.667 0.000
Pu 0.000 0.000 0.000
Ho 0.667 0.333 0.000

Output
SG: C2/m, No. 12
Volume: 357.1 Å³ per cell
Formation energy from raw total energies: -1647 meV/atom

(9)
Computed, not measured: crystalline K2HoPuSe4 at its relaxed geometry at the PBE-GGA level of DFT.

a b c (Å): 4.245 7.367 8.037
angles (deg): 107.80 90.00 90.00
Fractional coordinates of all 8 atoms:
Se 0.000 0.270 0.795
Se 0.000 0.730 0.205
K 0.000 0.500 0.500
Se 0.500 0.239 0.204
Se 0.500 0.761 0.796
K 0.500 0.000 0.500
Pu 0.000 0.000 0.000
Ho 0.500 0.500 0.000

Output
SG: P2/m, No. 10
Volume: 239.3 Å³ per cell
Formation energy from raw total energies: -1602 meV/atom

(10)
Computed, not measured: crystalline K2HoPuTe4 at its relaxed geometry at the PBE-GGA level of DFT.

a b c (Å): 4.530 7.862 8.613
angles (deg): 107.70 90.00 90.00
Fractional coordinates of all 8 atoms:
Te 0.000 0.731 0.208
K 0.500 0.000 0.500
Pu 0.000 0.000 0.000
Te 0.500 0.240 0.208
K 0.000 0.500 0.500
Ho 0.500 0.500 0.000
Te 0.000 0.269 0.792
Te 0.500 0.760 0.792

Output
SG: P2/m, No. 10
Volume: 292.2 Å³ per cell
Formation energy from raw total energies: -1242 meV/atom

(11)
Computed, not measured: crystalline K4Ho3PuTe8 at its relaxed geometry at the PBE-GGA level of DFT.

a b c (Å): 9.017 9.735 9.016
angles (deg): 117.59 120.00 90.00
Fractional coordinates of all 16 atoms:
Te 0.269 0.292 0.030
Te 0.264 0.292 0.528
Te 0.761 0.292 0.523
Ho 0.000 0.500 0.500
K 0.000 0.000 0.000
Ho 0.500 0.500 0.500
Te 0.761 0.292 0.030
K 0.500 0.000 0.000
Pu 0.000 0.500 0.000
Ho 0.500 0.500 0.000
K 0.500 0.000 0.500
Te 0.731 0.708 0.970
Te 0.736 0.708 0.472
Te 0.239 0.708 0.477
K 0.000 0.000 0.500
Te 0.239 0.708 0.970

Output
SG: R-3m, No. 166
Volume: 579.2 Å³ per cell
Formation energy from raw total energies: -1312 meV/atom

(12)
Computed, not measured: crystalline KHo3S4 at its relaxed geometry at the PBE-GGA level of DFT.

a b c (Å): 3.952 3.952 27.387
angles (deg): 90.00 90.00 120.00
Fractional coordinates of all 16 atoms:
Ho 0.667 0.333 0.385
S 0.000 0.000 0.169
S 0.667 0.333 0.943
Ho 0.667 0.333 0.115
S 0.000 0.000 0.331
Ho 0.333 0.667 0.615
Ho 0.000 0.000 0.500
S 0.000 0.000 0.831
Ho 0.000 0.000 0.000
S 0.333 0.667 0.057
Ho 0.333 0.667 0.885
S 0.000 0.000 0.669
K 0.667 0.333 0.750
S 0.333 0.667 0.443
S 0.667 0.333 0.557
K 0.333 0.667 0.250

Output
SG: P6_3/mmc, No. 194
Volume: 370.3 Å³ per cell
Formation energy from raw total energies: -1921 meV/atom

(13)
Computed, not measured: crystalline K3HoSb2S6 at its relaxed geometry at the PBE-GGA level of DFT.

a b c (Å): 7.052 7.052 7.722
angles (deg): 98.75 98.75 120.00
Fractional coordinates of all 12 atoms:
S 0.397 0.068 0.203
K 0.169 0.831 0.500
S 0.738 0.738 0.203
Ho 0.000 0.000 0.000
K 0.500 0.500 0.500
S 0.603 0.932 0.797
K 0.831 0.169 0.500
Sb 0.666 0.334 0.000
Sb 0.334 0.666 0.000
S 0.262 0.262 0.797
S 0.068 0.397 0.203
S 0.932 0.603 0.797

Output
SG: C2/m, No. 12
Volume: 316.8 Å³ per cell
Formation energy from raw total energies: -1094 meV/atom

(14)
Computed, not measured: crystalline K2Ho2SbS6 at its relaxed geometry at the PBE-GGA level of DFT.

a b c (Å): 6.853 6.853 7.899
angles (deg): 98.32 98.32 119.84
Fractional coordinates of all 11 atoms:
S 0.064 0.390 0.694
K 0.832 0.168 0.000
S 0.936 0.610 0.306
S 0.742 0.742 0.694
Sb 0.000 0.000 0.500
Ho 0.333 0.667 0.500
Ho 0.667 0.333 0.500
S 0.258 0.258 0.306
S 0.610 0.936 0.306
K 0.168 0.832 0.000
S 0.390 0.064 0.694

Output
SG: C2/m, No. 12
Volume: 308.1 Å³ per cell
Formation energy from raw total energies: -1394 meV/atom

(15)
Computed, not measured: crystalline K3Ho3SbS8 at its relaxed geometry at the PBE-GGA level of DFT.

a b c (Å): 7.965 7.966 8.795
angles (deg): 116.94 89.99 120.00
Fractional coordinates of all 15 atoms:
S 0.259 0.032 0.305
K 0.000 0.500 0.000
K 0.500 0.500 0.000
Ho 0.500 0.000 0.500
Ho 0.000 0.500 0.500
S 0.227 0.454 0.695
S 0.741 0.968 0.695
S 0.227 0.968 0.695
S 0.773 0.032 0.305
Sb 0.000 0.000 0.500
S 0.267 0.534 0.301
S 0.733 0.466 0.699
S 0.773 0.546 0.305
K 0.000 0.000 0.000
Ho 0.500 0.500 0.500

Output
SG: R-3m, No. 166
Volume: 411.9 Å³ per cell
Formation energy from raw total energies: -1541 meV/atom

(16)
Computed, not measured: crystalline KHo4ScS8 at its relaxed geometry at the PBE-GGA level of DFT.

a b c (Å): 8.190 8.190 8.022
angles (deg): 59.31 59.31 60.00
Fractional coordinates of all 14 atoms:
Ho 0.005 0.005 0.503
S 0.758 0.758 0.727
Ho 0.005 0.487 0.503
S 0.225 0.760 0.256
S 0.224 0.804 0.748
S 0.224 0.224 0.748
S 0.760 0.225 0.256
Ho 0.487 0.005 0.503
Sc 0.007 0.007 0.980
K 0.383 0.383 0.851
S 0.236 0.236 0.292
Ho 0.623 0.623 0.130
S 0.804 0.224 0.748
S 0.760 0.760 0.256

Output
SG: R3m, No. 160
Volume: 376.4 Å³ per cell
Formation energy from raw total energies: -1895 meV/atom

(17)
Computed, not measured: crystalline K3Ho3ScS8 at its relaxed geometry at the PBE-GGA level of DFT.

a b c (Å): 7.887 7.891 8.785
angles (deg): 116.72 90.00 119.98
Fractional coordinates of all 15 atoms:
Ho 0.000 0.500 0.500
S 0.257 0.032 0.308
S 0.225 0.968 0.692
S 0.743 0.968 0.692
S 0.225 0.450 0.692
Ho 0.500 0.000 0.500
S 0.734 0.468 0.702
K 0.500 0.500 0.000
S 0.266 0.532 0.298
Ho 0.500 0.500 0.500
K 0.000 0.000 0.000
Sc 0.000 0.000 0.500
S 0.775 0.550 0.308
K 0.000 0.500 0.000
S 0.775 0.032 0.308

Output
SG: R-3m, No. 166
Volume: 404.8 Å³ per cell
Formation energy from raw total energies: -1765 meV/atom

(18)
Computed, not measured: crystalline K3HoSc2S6 at its relaxed geometry at the PBE-GGA level of DFT.

a b c (Å): 6.768 6.768 7.661
angles (deg): 98.48 98.48 120.00
Fractional coordinates of all 12 atoms:
K 0.835 0.165 0.500
S 0.590 0.935 0.805
S 0.935 0.590 0.805
S 0.065 0.410 0.195
S 0.410 0.065 0.195
S 0.720 0.720 0.195
K 0.165 0.835 0.500
Sc 0.667 0.333 0.000
Ho 0.000 0.000 0.000
S 0.280 0.280 0.805
Sc 0.333 0.667 0.000
K 0.500 0.500 0.500

Output
SG: C2/m, No. 12
Volume: 290.3 Å³ per cell
Formation energy from raw total energies: -1796 meV/atom

(19)
Computed, not measured: crystalline K3Ho2ScS6 at its relaxed geometry at the PBE-GGA level of DFT.

a b c (Å): 6.879 6.879 7.693
angles (deg): 98.58 98.58 120.01
Fractional coordinates of all 12 atoms:
S 0.612 0.934 0.802
S 0.256 0.256 0.802
S 0.934 0.612 0.802
K 0.832 0.168 0.500
Ho 0.333 0.667 0.000
S 0.066 0.388 0.198
Ho 0.667 0.333 0.000
S 0.744 0.744 0.198
Sc 0.000 0.000 0.000
K 0.168 0.832 0.500
K 0.500 0.500 0.500
S 0.388 0.066 0.198

Output
SG: C2/m, No. 12
Volume: 300.9 Å³ per cell
Formation energy from raw total energies: -1840 meV/atom

(20)
Computed, not measured: crystalline KHoSeS at its relaxed geometry at the PBE-GGA level of DFT.

a b c (Å): 4.089 4.090 8.045
angles (deg): 90.01 104.72 120.00
Fractional coordinates of all 4 atoms:
Se 0.106 0.951 0.072
S 0.505 0.150 0.671
Ho 0.298 0.547 0.860
K 0.969 0.383 0.367

Output
SG: R3m, No. 160
Volume: 111.4 Å³ per cell
Formation energy from raw total energies: -1792 meV/atom